1.
Below is a relaxed KRb3Cl4 crystal, with properties calculated at the PBE level.

Properties
E in eV/f.u.: -26.94
SG: No. 65
Formation energy without anion corrections in eV per atom: -1.9436
Fermi-level density of states in states/eV per cell: 0.0
Total magnetization in Bohr magnetons per cell: 0.00

a = 8.102 Å, b = 8.102 Å, c = 4.677 Å
α = 90.00°, β = 90.00°, γ = 109.45°
Element x y z (fractional)
K: 0.000 0.000 0.000
Rb: 0.000 0.500 0.500
Rb: 0.500 0.000 0.500
Rb: 0.500 0.500 0.000
Cl: 0.242 0.242 0.500
Cl: 0.246 0.754 0.000
Cl: 0.754 0.246 0.000
Cl: 0.758 0.758 0.500

2.
Below is a relaxed K3Rb5Cl12 crystal, with properties calculated at the PBE level.

Properties
E in eV/f.u.: -57.01
SG: No. 230
Formation energy without anion corrections in eV per atom: -1.3358
Fermi-level density of states in states/eV per cell: 62.5
Total magnetization in Bohr magnetons per cell: 16.01

a = 16.287 Å, b = 16.287 Å, c = 16.287 Å
α = 109.47°, β = 109.47°, γ = 109.47°
Element x y z (fractional)
K: 0.125 0.250 0.375
K: 0.125 0.375 0.750
K: 0.250 0.375 0.125
K: 0.250 0.875 0.625
K: 0.375 0.125 0.250
K: 0.375 0.750 0.125
K: 0.625 0.250 0.875
K: 0.625 0.875 0.750
K: 0.750 0.125 0.375
K: 0.750 0.625 0.875
K: 0.875 0.625 0.250
K: 0.875 0.750 0.625
Rb: 0.000 0.000 0.000
Rb: 0.000 0.000 0.500
Rb: 0.000 0.500 0.000
Rb: 0.000 0.500 0.500
Rb: 0.125 0.750 0.875
Rb: 0.125 0.875 0.250
Rb: 0.250 0.125 0.875
Rb: 0.250 0.625 0.375
Rb: 0.375 0.250 0.625
Rb: 0.375 0.625 0.750
Rb: 0.500 0.000 0.000
Rb: 0.500 0.000 0.500
Rb: 0.500 0.500 0.000
Rb: 0.500 0.500 0.500
Rb: 0.625 0.375 0.250
Rb: 0.625 0.750 0.375
Rb: 0.750 0.375 0.625
Rb: 0.750 0.875 0.125
Rb: 0.875 0.125 0.750
Rb: 0.875 0.250 0.125
Cl: 0.074 0.247 0.152
Cl: 0.074 0.326 0.922
Cl: 0.078 0.652 0.405
Cl: 0.078 0.926 0.674
Cl: 0.095 0.747 0.674
Cl: 0.095 0.848 0.422
Cl: 0.152 0.074 0.247
Cl: 0.152 0.578 0.905
Cl: 0.174 0.247 0.595
Cl: 0.174 0.426 0.578
Cl: 0.247 0.152 0.074
Cl: 0.247 0.595 0.174
Cl: 0.253 0.326 0.905
Cl: 0.253 0.426 0.348
Cl: 0.326 0.905 0.253
Cl: 0.326 0.922 0.074
Cl: 0.348 0.253 0.426
Cl: 0.348 0.595 0.922
Cl: 0.405 0.078 0.652
Cl: 0.405 0.826 0.753
Cl: 0.422 0.095 0.848
Cl: 0.422 0.826 0.574
Cl: 0.426 0.348 0.253
Cl: 0.426 0.578 0.174
Cl: 0.574 0.422 0.826
Cl: 0.574 0.652 0.747
Cl: 0.578 0.174 0.426
Cl: 0.578 0.905 0.152
Cl: 0.595 0.174 0.247
Cl: 0.595 0.922 0.348
Cl: 0.652 0.405 0.078
Cl: 0.652 0.747 0.574
Cl: 0.674 0.078 0.926
Cl: 0.674 0.095 0.747
Cl: 0.747 0.574 0.652
Cl: 0.747 0.674 0.095
Cl: 0.753 0.405 0.826
Cl: 0.753 0.848 0.926
Cl: 0.826 0.574 0.422
Cl: 0.826 0.753 0.405
Cl: 0.848 0.422 0.095
Cl: 0.848 0.926 0.753
Cl: 0.905 0.152 0.578
Cl: 0.905 0.253 0.326
Cl: 0.922 0.074 0.326
Cl: 0.922 0.348 0.595
Cl: 0.926 0.674 0.078
Cl: 0.926 0.753 0.848

3.
Below is a relaxed KRb6Cl8 crystal, with properties calculated at the PBE level.

Properties
E in eV/f.u.: -47.62
SG: No. 162
Formation energy without anion corrections in eV per atom: -1.7299
Fermi-level density of states in states/eV per cell: 23.4
Total magnetization in Bohr magnetons per cell: 1.33

a = 9.800 Å, b = 9.800 Å, c = 6.723 Å
α = 90.00°, β = 90.00°, γ = 120.00°
Element x y z (fractional)
K: 0.000 0.000 0.000
Rb: 0.000 0.370 0.721
Rb: 0.000 0.630 0.279
Rb: 0.370 0.000 0.721
Rb: 0.370 0.370 0.279
Rb: 0.630 0.000 0.279
Rb: 0.630 0.630 0.721
Cl: 0.000 0.289 0.214
Cl: 0.000 0.711 0.786
Cl: 0.289 0.000 0.214
Cl: 0.289 0.289 0.786
Cl: 0.333 0.667 0.500
Cl: 0.667 0.333 0.500
Cl: 0.711 0.000 0.786
Cl: 0.711 0.711 0.214

4.
Below is a relaxed K5Rb3Cl8 crystal, with properties calculated at the PBE level.

Properties
E in eV/f.u.: -54.35
SG: No. 166
Formation energy without anion corrections in eV per atom: -1.9489
Fermi-level density of states in states/eV per cell: 0.0
Total magnetization in Bohr magnetons per cell: 0.00

a = 9.186 Å, b = 9.186 Å, c = 9.186 Å
α = 60.00°, β = 60.00°, γ = 60.00°
Element x y z (fractional)
K: 0.000 0.000 0.000
K: 0.000 0.500 0.500
K: 0.500 0.000 0.500
K: 0.500 0.500 0.000
K: 0.500 0.500 0.500
Rb: 0.000 0.000 0.500
Rb: 0.000 0.500 0.000
Rb: 0.500 0.000 0.000
Cl: 0.250 0.250 0.742
Cl: 0.250 0.742 0.250
Cl: 0.254 0.254 0.254
Cl: 0.258 0.750 0.750
Cl: 0.742 0.250 0.250
Cl: 0.746 0.746 0.746
Cl: 0.750 0.258 0.750
Cl: 0.750 0.750 0.258

5.
Below is a relaxed KRbCl2 crystal, with properties calculated at the PBE level.

Properties
E in eV/f.u.: -13.27
SG: No. 123
Formation energy without anion corrections in eV per atom: -1.8786
Fermi-level density of states in states/eV per cell: 0.0
Total magnetization in Bohr magnetons per cell: 0.00
Polymorph energy (0 for the lowest one) in eV/atom: 0.069

a = 3.915 Å, b = 3.915 Å, c = 7.847 Å
α = 90.00°, β = 90.00°, γ = 90.00°
Element x y z (fractional)
K: 0.000 0.000 0.000
Rb: 0.000 0.000 0.500
Cl: 0.500 0.500 0.242
Cl: 0.500 0.500 0.758

6.
Below is a relaxed KRb2Cl3 crystal, with properties calculated at the PBE level.

Properties
E in eV/f.u.: -20.24
SG: No. 71
Formation energy without anion corrections in eV per atom: -1.9444
Fermi-level density of states in states/eV per cell: 0.0
Total magnetization in Bohr magnetons per cell: 0.00

a = 8.069 Å, b = 8.069 Å, c = 8.069 Å
α = 146.49°, β = 131.75°, γ = 60.02°
Element x y z (fractional)
K: 0.000 0.000 0.000
Rb: 0.332 0.332 0.000
Rb: 0.668 0.668 0.000
Cl: 0.159 0.659 0.500
Cl: 0.500 0.000 0.500
Cl: 0.841 0.341 0.500

- Which formula does entry 1 have?
  KRb3Cl4

- Which of these has the lowest formation energy without anion corrections?
  K5Rb3Cl8